Entry from the Alexandria database: crystalline KCd6Au6 at its relaxed geometry (PBE).

Structure (CIF):
```
data_KCd6Au6
_cell_length_a 5.6850
_cell_length_b 9.8614
_cell_length_c 9.9767
_cell_angle_alpha 90.00
_cell_angle_beta 90.00
_cell_angle_gamma 90.00
_symmetry_space_group_name_H-M 'I m m m'
_symmetry_Int_Tables_number 71
_symmetry_space_group_name_Hall '-I 2 2'
loop_
_atom_site_label
_atom_site_type_symbol
_atom_site_fract_x
_atom_site_fract_y
_atom_site_fract_z
K1 K 0.0000 0.0000 0.0000
Cd1 Cd 0.0000 0.0000 0.3504
Cd2 Cd 0.0000 0.3480 0.0000
Cd3 Cd 0.0000 0.5000 0.3037
Au1 Au 0.0000 0.2750 0.5000
Au2 Au 0.2500 0.2500 0.2500
```

The density of states at the Fermi level comes out at 0.321 states/eV/atom. The density is 11.25 g cm⁻³. Its total DFT energy (no corrections) is -2.21 eV per atom. The crystal system is orthorhombic. The value obtained for the energy of formation is -192 meV/atom.